Record 1
DFT (GGA-PBE) results for a relaxed RbPuSnSe3 crystal.

a b c (Å): 8.9134 4.2548 11.5385
angles (deg): 90.00 107.68 90.00
Positions (direct):
Rb  0.2216  0.2500  0.2561
Rb  0.7784  0.7500  0.7439
Pu  0.3594  0.7500  0.8492
Pu  0.6407  0.2500  0.1508
Sn  0.1452  0.2500  0.5656
Sn  0.8548  0.7500  0.4344
Se  0.1170  0.2500  0.7907
Se  0.3544  0.7500  0.5922
Se  0.4108  0.7500  0.1065
Se  0.5892  0.2500  0.8935
Se  0.6456  0.2500  0.4078
Se  0.8830  0.7500  0.2093

formation energy without anion corrections = -1.10 eV per atom
volume = 34.74 A^3/atom



Record 2
DFT (GGA-PBE) results for a relaxed Rb2PuSnSe5 crystal.

a b c (Å): 10.2900 10.2900 14.8644
angles (deg): 90.00 90.00 156.15
Positions (direct):
Rb  0.1217  0.8783  0.5000
Rb  0.1360  0.8640  0.1459
Rb  0.8640  0.1360  0.6459
Rb  0.8783  0.1217  0.0000
Pu  0.2027  0.7973  0.8499
Pu  0.7973  0.2027  0.3499
Sn  0.4415  0.5585  0.2391
Sn  0.5585  0.4415  0.7391
Se  0.0497  0.9503  0.8499
Se  0.3006  0.6994  0.4710
Se  0.3140  0.6860  0.2129
Se  0.3333  0.6667  0.8271
Se  0.4971  0.5029  0.5958
Se  0.5029  0.4971  0.0958
Se  0.6667  0.3333  0.3271
Se  0.6860  0.3140  0.7129
Se  0.6994  0.3006  0.9710
Se  0.9503  0.0497  0.3499

formation energy without anion corrections = -0.95 eV per atom
volume = 35.36 A^3/atom



Record 3
DFT (GGA-PBE) results for a relaxed Rb3SrPu2Se6 crystal.

a b c (Å): 7.5735 7.5735 8.3564
angles (deg): 98.72 98.72 120.00
Positions (direct):
Rb  0.0000  0.0000  0.0000
Rb  0.3388  0.6612  0.0000
Rb  0.6612  0.3388  0.0000
Sr  0.5000  0.5000  0.5000
Pu  0.1671  0.8329  0.5000
Pu  0.8329  0.1671  0.5000
Se  0.0773  0.4338  0.3028
Se  0.2094  0.2094  0.6957
Se  0.4338  0.0773  0.3028
Se  0.5662  0.9227  0.6972
Se  0.7906  0.7906  0.3043
Se  0.9227  0.5662  0.6972

formation energy without anion corrections = -1.49 eV per atom
volume = 32.96 A^3/atom



What did we get for density of states at the Fermi level? Answer: 20.30; 19.02; 20.89 states/eV per cell, in the order shown.
What did we get for total energy? Answer: -6.06; -5.14; -6.00 eV per atom, in the order shown.